[1]
## Li2Tb3DySe6 (PBE-GGA)

Data for a relaxed Li2Tb3DySe6 crystal.

Cell lengths 7.0093, 7.0093, 7.0192 Å; angles 99.59, 99.59, 119.99 degrees
With the nearest neighbours (Å) after each atom.
Sites, in units of the cell vectors:
Li 0.3323 0.6677 0.0000  6 Se 2.81-2.82
Li 0.6677 0.3323 0.0000  6 Se 2.81-2.82
Tb 0.1662 0.8338 0.5000  6 Se 2.87-2.91
Tb 0.8338 0.1662 0.5000  6 Se 2.87-2.91
Tb 0.5000 0.5000 0.5000  6 Se 2.87-2.91
Dy 0.0000 0.0000 0.0000  6 Se 2.86
Se 0.9196 0.5811 0.7589  2 Li 2.81, 1 Dy 2.86, 3 Tb 2.87-2.91
Se 0.7418 0.7418 0.2415  2 Li 2.82, 1 Dy 2.86, 3 Tb 2.87-2.91
Se 0.0804 0.4189 0.2411  2 Li 2.81, 1 Dy 2.86, 3 Tb 2.87-2.91
Se 0.5811 0.9196 0.7589  2 Li 2.81, 1 Dy 2.86, 3 Tb 2.87-2.91
Se 0.2582 0.2582 0.7585  2 Li 2.82, 1 Dy 2.86, 3 Tb 2.87-2.91
Se 0.4189 0.0804 0.2411  2 Li 2.81, 1 Dy 2.86, 3 Tb 2.87-2.91

crystal system: monoclinic
E_form (uncorrected): -1736.5 meV per atom
space-group type: C2/m (12)

[2]
## LiTb3Dy2Se6 (PBE-GGA)

Data for a relaxed LiTb3Dy2Se6 crystal.

Cell lengths 7.0323, 7.0323, 7.0560 Å; angles 99.61, 99.61, 120.12 degrees
With the nearest neighbours (Å) after each atom.
Sites, in units of the cell vectors:
Li 0.0000 0.0000 0.0000  6 Se 2.78-2.79
Tb 0.1673 0.8327 0.5000  6 Se 2.87-2.95
Tb 0.8327 0.1673 0.5000  6 Se 2.87-2.95
Tb 0.5000 0.5000 0.5000  6 Se 2.88-2.97
Dy 0.3346 0.6654 0.0000  6 Se 2.86-2.88
Dy 0.6654 0.3346 0.0000  6 Se 2.86-2.88
Se 0.9196 0.5952 0.7571  1 Li 2.79, 3 Tb 2.87-2.95, 2 Dy 2.88
Se 0.7580 0.7580 0.2412  1 Li 2.78, 2 Dy 2.86, 3 Tb 2.88-2.97
Se 0.0804 0.4048 0.2429  1 Li 2.79, 3 Tb 2.87-2.95, 2 Dy 2.88
Se 0.5952 0.9196 0.7571  1 Li 2.79, 3 Tb 2.87-2.95, 2 Dy 2.88
Se 0.2420 0.2420 0.7588  1 Li 2.78, 2 Dy 2.86, 3 Tb 2.88-2.97
Se 0.4048 0.0804 0.2429  1 Li 2.79, 3 Tb 2.87-2.95, 2 Dy 2.88

crystal system: monoclinic
E_form (uncorrected): -1759.8 meV per atom
space-group type: C2/m (12)

What did the second record say?
## LiTb3Dy2Se6 (PBE-GGA)

Data for a relaxed LiTb3Dy2Se6 crystal.

Cell lengths 7.0323, 7.0323, 7.0560 Å; angles 99.61, 99.61, 120.12 degrees
With the nearest neighbours (Å) after each atom.
Sites, in units of the cell vectors:
Li 0.0000 0.0000 0.0000  6 Se 2.78-2.79
Tb 0.1673 0.8327 0.5000  6 Se 2.87-2.95
Tb 0.8327 0.1673 0.5000  6 Se 2.87-2.95
Tb 0.5000 0.5000 0.5000  6 Se 2.88-2.97
Dy 0.3346 0.6654 0.0000  6 Se 2.86-2.88
Dy 0.6654 0.3346 0.0000  6 Se 2.86-2.88
Se 0.9196 0.5952 0.7571  1 Li 2.79, 3 Tb 2.87-2.95, 2 Dy 2.88
Se 0.7580 0.7580 0.2412  1 Li 2.78, 2 Dy 2.86, 3 Tb 2.88-2.97
Se 0.0804 0.4048 0.2429  1 Li 2.79, 3 Tb 2.87-2.95, 2 Dy 2.88
Se 0.5952 0.9196 0.7571  1 Li 2.79, 3 Tb 2.87-2.95, 2 Dy 2.88
Se 0.2420 0.2420 0.7588  1 Li 2.78, 2 Dy 2.86, 3 Tb 2.88-2.97
Se 0.4048 0.0804 0.2429  1 Li 2.79, 3 Tb 2.87-2.95, 2 Dy 2.88

crystal system: monoclinic
E_form (uncorrected): -1759.8 meV per atom
space-group type: C2/m (12)